# Ba3Cr2 PBE optimized geometry
# DOS at the Fermi energy	6.45	states/eV/f.u.
# total magnetization	9.93	Bohr magnetons per cell
# volume	218.0	Å³ per cell
# formation energy from the elements	3.55	eV/f.u.
data_Ba3Cr2
_cell_length_a 5.8692
_cell_length_b 5.8692
_cell_length_c 7.3091
_cell_angle_alpha 90.00
_cell_angle_beta 90.00
_cell_angle_gamma 120.00
_symmetry_space_group_name_H-M 'P -3 m 1'
_symmetry_Int_Tables_number 164
_symmetry_space_group_name_Hall '-P 3 2"'
loop_
_atom_site_label
_atom_site_fract_x
_atom_site_fract_y
_atom_site_fract_z
Ba1 0.0000 0.0000 0.0000
Ba2 0.3333 0.6667 0.3367
Cr1 0.3333 0.6667 0.8572